No. 1
TcPI2N | PBE | relaxed

Properties
ΔE_f (raw): 5.6 eV/f.u.
ΔE to the lowest computed polymorph: 343 meV/atom

abc: 5.8293 5.8293 3.3822
angles: 90.00 90.00 90.00
Closest atoms and distances in Å follow each position.
Space group P4/mmm (No. 123)
One atom of each set of equivalent atoms:
Tc1 0.0000 0.0000 0.0000 [1 per cell]  8 I 3.37, 2 Tc 3.38
P1 0.5000 0.5000 0.5000 [1 per cell]  2 N 1.69
I1 0.0000 0.5000 0.5000 [2 per cell]  2 P 2.91
N1 0.5000 0.5000 0.0000 [1 per cell]  2 P 1.69

=====

No. 2
Y3TiPt12 | PBE | relaxed

Properties
ΔH_f (0 K): -0.968 eV/atom

abc: 4.0818 4.0818 16.3437
angles: 90.00 90.00 90.00
Closest atoms and distances in Å follow each position.
Space group P4/mmm (No. 123)
One atom of each set of equivalent atoms:
Y1 0.0000 0.0000 0.0000 [1 per cell]  12 Pt 2.89-2.92
Y2 0.0000 0.0000 0.2539 [2 per cell]  12 Pt 2.89-2.97
Ti1 0.0000 0.0000 0.5000 [1 per cell]  12 Pt 2.76-2.89
Pt1 0.0000 0.5000 0.1279 [4 per cell]  8 Pt 2.89-2.93, 4 Y 2.90-2.92
Pt2 0.0000 0.5000 0.3861 [4 per cell]  2 Ti 2.76, 8 Pt 2.76-2.94, 2 Y 2.97
Pt3 0.5000 0.5000 0.0000 [1 per cell]  4 Y 2.89, 8 Pt 2.92
Pt4 0.5000 0.5000 0.2570 [2 per cell]  4 Y 2.89, 8 Pt 2.93-2.94
Pt5 0.5000 0.5000 0.5000 [1 per cell]  8 Pt 2.76, 4 Ti 2.89

=====

No. 3
Ga6CuNi5 | PBE | relaxed

Properties
ΔH_f (0 K): -0.307 eV/atom

abc: 4.1350 12.4290 5.8816
angles: 90.00 90.20 90.00
Closest atoms and distances in Å follow each position.
Space group C2/m (No. 12)
One atom of each set of equivalent atoms:
Ga1 0.0001 0.0000 0.2453 [4 per cell]  6 Ni 2.49-2.54, 2 Cu 2.55-2.56
Ga2 0.0002 0.3304 0.2465 [8 per cell]  7 Ni 2.52-2.56, 1 Cu 2.58
Cu1 0.0000 0.5000 0.5000 [2 per cell]  8 Ga 2.55-2.58
Ni1 0.0000 0.1635 0.0000 [4 per cell]  8 Ga 2.49-2.53
Ni2 0.0000 0.1652 0.5000 [4 per cell]  8 Ga 2.54-2.55
Ni3 0.0000 0.5000 0.0000 [2 per cell]  8 Ga 2.52-2.56

=====

No. 4
CdCoPb2 | PBE | relaxed

Properties
ΔH_f (0 K): 0.315 eV/atom

abc: 6.1403 3.5121 9.0204
angles: 90.00 103.30 90.00
Closest atoms and distances in Å follow each position.
Space group C2/m (No. 12)
One atom of each set of equivalent atoms:
Cd1 0.0000 0.0000 0.0000 [2 per cell]  6 Pb 3.30-3.33, 6 Cd 3.51-3.54
Co1 0.0000 0.5000 0.5000 [2 per cell]  6 Pb 2.71
Pb1 0.2368 0.0000 0.7029 [4 per cell]  3 Co 2.71

=====

No. 5
Pm2Y4Tl | PBE | relaxed

Properties
ΔH_f (0 K): -0.019 eV/atom

abc: 5.7829 6.7586 11.6522
angles: 90.00 103.31 90.00
Closest atoms and distances in Å follow each position.
Space group P2_1/m (No. 11)
One atom of each set of equivalent atoms:
Pm1 0.0289 0.2500 0.4744 [2 per cell]  2 Tl 3.23-3.29, 4 Y 3.39-3.47, 2 Pm 3.46
Pm2 0.3268 0.7500 0.0715 [2 per cell]  7 Y 3.25-3.45
Y1 0.1616 0.0082 0.7878 [4 per cell]  4 Y 3.27-3.62, 1 Tl 3.40, 2 Pm 3.45-3.47
Y2 0.2268 0.2500 0.0709 [2 per cell]  1 Tl 3.13, 4 Pm 3.25-3.43
Y3 0.3990 0.7500 0.3685 [2 per cell]  3 Tl 3.29-3.42, 3 Pm 3.39-3.40
Tl1 0.4612 0.2500 0.3409 [2 per cell]  6 Y 3.13-3.42, 2 Pm 3.23-3.29

=====

No. 6
Ac3Nd3Ho | PBE | relaxed

Properties
ΔH_f (0 K): 0.183 eV/atom

abc: 13.9455 5.6571 14.1290
angles: 90.00 90.00 90.00
Closest atoms and distances in Å follow each position.
Space group Pnma (No. 62)
One atom of each set of equivalent atoms:
Ac1 0.0908 0.2500 0.0609 [4 per cell]  5 Nd 3.42-3.64, 1 Ho 3.56
Ac2 0.0946 0.2500 0.5577 [4 per cell]  6 Nd 3.57-3.83, 1 Ho 3.67
Ac3 0.1866 0.7500 0.3610 [4 per cell]  6 Nd 3.60-3.92, 1 Ho 3.79
Nd1 0.0350 0.2500 0.3122 [4 per cell]  1 Nd 3.39, 2 Ho 3.52, 4 Ac 3.57-3.64
Nd2 0.1631 0.7500 0.9343 [4 per cell]  1 Nd 3.38, 5 Ac 3.49-3.67, 2 Ho 3.69
Nd3 0.2078 0.7500 0.6995 [4 per cell]  2 Nd 3.38-3.39, 1 Ac 3.42
Ho1 0.0462 0.2500 0.8127 [4 per cell]  4 Nd 3.52-3.69, 5 Ac 3.56-3.85

=====

no.,total energy (eV per atom)
1,-4.318
2,-7.204
3,-4.571
4,-3.545
5,-5.408
6,-4.275